The following is a PBE with a Hubbard U calculation of a geometry-optimized BaMg6MnO8 structure, from Alexandria.

It has space group P4/mmm (No. 123), with a = 4.673 Å, b = 4.673 Å, c = 8.900 Å, α = 90.00°, β = 90.00° and γ = 90.00°. The asymmetric unit holds Ba at (0.000, 0.000, 0.000), Mg at (0.000, 0.000, 0.500), Mg at (0.000, 0.500, 0.269), Mg at (0.500, 0.500, 0.500), Mn at (0.500, 0.500, 0.000), O at (0.000, 0.000, 0.283), O at (0.000, 0.500, 0.000), O at (0.000, 0.500, 0.500) and O at (0.500, 0.500, 0.261).

The value obtained for the energy above the most stable polymorph in this dataset is 0 meV/atom. The value obtained for the uncorrected energy is -5.86 eV per atom. Its total magnetization is 5.02 μB/cell. The value obtained for the density of states at the Fermi level is 0.036 states/eV/atom.